## Ho6Pd5Pt (PBE)

Data for an optimized crystal structure of Ho6Pd5Pt.

a = 7.0486 Å, b = 7.0486 Å, c = 6.9923 Å
α = 99.65°, β = 99.65°, γ = 119.87°
Atoms (fractional coordinates):
Ho: 0.0815 0.4113 0.7460
Ho: 0.2451 0.2451 0.2485
Ho: 0.4113 0.0815 0.7460
Ho: 0.5887 0.9185 0.2540
Ho: 0.7549 0.7549 0.7515
Ho: 0.9185 0.5887 0.2540
Pd: 0.1695 0.8305 0.0000
Pd: 0.3349 0.6651 0.5000
Pd: 0.5000 0.5000 0.0000
Pd: 0.6651 0.3349 0.5000
Pd: 0.8305 0.1695 0.0000
Pt: 0.0000 0.0000 0.5000

Summary:
symmetry = C2/m, No. 12
magnetization = 0.00 μB per formula unit
energy above the lowest structure with this stoichiometry = 0.1501 eV/atom
formation enthalpy at 0 K = -0.817 eV per atom
E = -5.77 eV/atom



## Co2AgMo (PBE)

Data for an optimized crystal structure of Co2AgMo.

a = 2.6694 Å, b = 2.6694 Å, c = 7.7498 Å
α = 90.00°, β = 90.00°, γ = 90.00°
Atoms (fractional coordinates):
Co: 0.0000 0.0000 0.0000
Co: 0.5000 0.5000 0.1942
Ag: 0.5000 0.5000 0.7343
Mo: 0.0000 0.0000 0.4368

Summary:
symmetry = P4mm, No. 99
magnetization = 3.04 μB per formula unit
energy above the lowest structure with this stoichiometry = 0.0000 eV/atom
formation enthalpy at 0 K = 0.285 eV per atom
E = -6.69 eV/atom



## P2OsIN (PBE)

Data for an optimized crystal structure of P2OsIN.

a = 4.4965 Å, b = 4.4965 Å, c = 5.9497 Å
α = 90.00°, β = 90.00°, γ = 90.00°
Atoms (fractional coordinates):
P: 0.0000 0.5000 0.0000
P: 0.5000 0.0000 0.0000
Os: 0.0000 0.0000 0.0000
I: 0.0000 0.0000 0.5000
N: 0.5000 0.5000 0.5000

Summary:
symmetry = P4/mmm, No. 123
magnetization = 2.79 μB per formula unit
ΔE_f (raw) = 1461 meV per atom
E = -4.92 eV/atom



## Mg3ReTc (PBE)

Data for an optimized crystal structure of Mg3ReTc.

a = 4.9675 Å, b = 4.9675 Å, c = 4.9675 Å
α = 90.00°, β = 90.00°, γ = 90.00°
Atoms (fractional coordinates):
Mg: 0.0000 0.0000 0.5000
Mg: 0.0000 0.5000 0.0000
Mg: 0.5000 0.0000 0.0000
Re: 0.0000 0.0000 0.0000
Tc: 0.5000 0.5000 0.5000

Summary:
symmetry = Pm-3m, No. 221
magnetization = 4.07 μB per formula unit
energy above the lowest structure with this stoichiometry = 0.0000 eV/atom
formation enthalpy at 0 K = 1.612 eV per atom
E = -3.91 eV/atom



## BaPuRh2 (PBE)

Data for an optimized crystal structure of BaPuRh2.

a = 3.4767 Å, b = 3.4767 Å, c = 7.7856 Å
α = 90.00°, β = 90.00°, γ = 90.00°
Atoms (fractional coordinates):
Ba: 0.0000 0.0000 0.0000
Pu: 0.0000 0.0000 0.5000
Rh: 0.5000 0.5000 0.3087
Rh: 0.5000 0.5000 0.6913

Summary:
symmetry = P4/mmm, No. 123
magnetization = 4.14 μB per formula unit
formation enthalpy at 0 K = -0.239 eV per atom
E = -7.98 eV/atom



## CrSbAs2 (PBE)

Data for an optimized crystal structure of CrSbAs2.

a = 4.0058 Å, b = 5.9321 Å, c = 5.9321 Å
α = 35.75°, β = 90.00°, γ = 90.00°
Atoms (fractional coordinates):
Cr: 0.0000 0.0000 0.0000
Sb: 0.5000 0.5940 0.5940
As: 0.0000 0.3338 0.3338
As: 0.5000 0.8441 0.8441

Summary:
symmetry = Amm2, No. 38
magnetization = 2.53 μB per formula unit
ΔE_f (raw) = 190 meV per atom
E = -5.57 eV/atom